Entry 1:
{
  "formula": "InCo2Os",
  "functional": "PBE",
  "state": "optimized geometry",
  "lattice": [[4.299, 0.000, 0.000], [0.000, 4.299, 0.000], [0.000, 0.000, 3.029]],
  "species": ["Co", "Co", "Os", "In"],
  "fractional_positions": [[0.500, 0.500, 0.000], [0.000, 0.000, 0.000], [0.000, 0.500, 0.500], [0.500, 0.000, 0.500]],
  "ef_ev_per_atom": 0.33,
  "space_group": "P4/mmm"
}

***

Entry 2:
{
  "formula": "PmNd6Te8",
  "functional": "PBE",
  "state": "optimized geometry",
  "lattice": [[7.760, 0.000, 4.480], [2.587, 7.316, 4.480], [0.000, 0.000, 8.961]],
  "species": ["Nd", "Nd", "Nd", "Nd", "Nd", "Nd", "Pm", "Te", "Te", "Te", "Te", "Te", "Te", "Te", "Te"],
  "fractional_positions": [[0.000, 0.000, 0.500], [0.000, 0.500, 0.000], [0.500, 0.000, 0.000], [0.500, 0.000, 0.500], [0.000, 0.500, 0.500], [0.500, 0.500, 0.000], [0.000, 0.000, 0.000], [0.746, 0.254, 0.254], [0.254, 0.746, 0.746], [0.746, 0.746, 0.254], [0.254, 0.254, 0.746], [0.250, 0.250, 0.250], [0.746, 0.254, 0.746], [0.750, 0.750, 0.750], [0.254, 0.746, 0.254]],
  "dft_energy_ha_per_atom": -0.197,
  "space_group": "Fm-3m"
}

***

Entry 3:
{
  "formula": "Rb3Th3PbSe8",
  "functional": "PBE",
  "state": "optimized geometry",
  "lattice": [[-1.844, 8.058, -2.752], [-4.273, -6.825, -3.328], [-2.114, 2.552, 8.890]],
  "species": ["Se", "Se", "Se", "Se", "Se", "Se", "Se", "Se", "Th", "Th", "Th", "Rb", "Rb", "Rb", "Pb"],
  "fractional_positions": [[0.758, 0.042, 0.300], [0.716, 0.958, 0.700], [0.242, 0.958, 0.700], [0.734, 0.468, 0.701], [0.284, 0.042, 0.300], [0.242, 0.484, 0.700], [0.266, 0.532, 0.299], [0.758, 0.516, 0.300], [0.500, 0.000, 0.500], [0.500, 0.500, 0.500], [0.000, 0.500, 0.500], [0.000, 0.500, 0.000], [0.500, 0.500, 0.000], [0.000, 0.000, 0.000], [0.000, 0.000, 0.500]],
  "dft_energy_ha_per_atom": -0.193,
  "space_group": "R-3m"
}

***

Entry 4:
{
  "formula": "CaPm2HfP4",
  "functional": "PBE",
  "state": "optimized geometry",
  "lattice": [[-3.280, 0.121, 2.289], [-3.528, -3.568, -4.866], [2.900, -4.436, 4.391]],
  "species": ["Hf", "Ca", "P", "P", "P", "P", "Pm", "Pm"],
  "fractional_positions": [[0.000, 0.000, 0.000], [0.500, 0.500, 0.000], [0.000, 0.238, 0.763], [0.500, 0.231, 0.229], [0.500, 0.769, 0.771], [0.000, 0.762, 0.237], [0.500, 0.000, 0.500], [0.000, 0.500, 0.500]],
  "ef_ev_per_atom": -1.35,
  "space_group": "P2/m"
}